DFT (GGA-PBEsol) results for a relaxed NbNi2 crystal.

Properties
total DFT energy (no corrections)	-7.912	eV/atom
formation enthalpy at 0 K	-0.200	eV/atom
crystal system	cubic
magnetic moment	0.0	μB per formula unit
density of states at the Fermi level	1.82	states/eV/atom

abc: 4.745 4.745 4.745
angles: 60.00 60.00 60.00
Fractional coordinates of all 6 atoms:
Ni: 0.125 0.125 0.625
Ni: 0.125 0.625 0.125
Nb: 0.750 0.750 0.750
Ni: 0.125 0.125 0.125
Ni: 0.625 0.125 0.125
Nb: 0.500 0.500 0.500